[1]
Density functional theory data (GGA-PBE) for an optimized crystal structure of Dy4Al2C.

Structure (CIF):
```
data_Dy4Al2C
_space_group_name_H-M_alt 'I 4/m m m'
_space_group_IT_number 139
_space_group_name_Hall '-I 4 2'
_cell_length_a 4.911
_cell_length_b 4.911
_cell_length_c 14.568
_cell_angle_alpha 90.00
_cell_angle_beta 90.00
_cell_angle_gamma 90.00
loop_
_atom_site_label
_atom_site_type_symbol
_atom_site_fract_x
_atom_site_fract_y
_atom_site_fract_z
Dy1 Dy 0.000 0.000 0.167
Dy2 Dy 0.000 0.500 0.000
Al1 Al 0.000 0.000 0.375
C1 C 0.000 0.000 0.000
```

Output
D(E_F) = 2.06 states/eV per cell
Energy of formation from the pure elements = -0.252 eV/atom
Size of the total moment = 0.00 μB per formula unit

=====

[2]
Density functional theory data (GGA-PBE) for an optimized crystal structure of DyEr2AlC.

Structure (CIF):
```
data_DyEr2AlC
_space_group_name_H-M_alt 'P 4/m m m'
_space_group_IT_number 123
_space_group_name_Hall '-P 4 2'
_cell_length_a 4.830
_cell_length_b 4.830
_cell_length_c 4.885
_cell_angle_alpha 90.00
_cell_angle_beta 90.00
_cell_angle_gamma 90.00
loop_
_atom_site_label
_atom_site_type_symbol
_atom_site_fract_x
_atom_site_fract_y
_atom_site_fract_z
Dy1 Dy 0.000 0.000 0.000
Er1 Er 0.000 0.500 0.500
Al1 Al 0.500 0.500 0.000
C1 C 0.000 0.000 0.500
```

Output
D(E_F) = 1.47 states/eV per cell
Energy of formation from the pure elements = -0.417 eV/atom
Size of the total moment = 0.00 μB per formula unit

=====

[3]
Density functional theory data (GGA-PBE) for an optimized crystal structure of Dy2Mn2Al2C.

Structure (CIF):
```
data_Dy2Mn2Al2C
_space_group_name_H-M_alt 'C 1 2/m 1'
_space_group_IT_number 12
_space_group_name_Hall '-C 2y'
_cell_length_a 10.912
_cell_length_b 3.416
_cell_length_c 6.609
_cell_angle_alpha 90.00
_cell_angle_beta 107.46
_cell_angle_gamma 90.00
loop_
_atom_site_label
_atom_site_type_symbol
_atom_site_fract_x
_atom_site_fract_y
_atom_site_fract_z
Dy1 Dy 0.007 0.000 0.258
Mn1 Mn 0.183 0.500 0.059
Al1 Al 0.204 0.500 0.649
C1 C 0.000 0.500 0.000
```

Output
D(E_F) = 6.71 states/eV per cell
Energy of formation from the pure elements = -0.215 eV/atom
Size of the total moment = 2.11 μB per formula unit

=====

[4]
Density functional theory data (GGA-PBE) for an optimized crystal structure of NdDy2AlC.

Structure (CIF):
```
data_NdDy2AlC
_space_group_name_H-M_alt 'P 4/m m m'
_space_group_IT_number 123
_space_group_name_Hall '-P 4 2'
_cell_length_a 4.895
_cell_length_b 4.895
_cell_length_c 5.087
_cell_angle_alpha 90.00
_cell_angle_beta 90.00
_cell_angle_gamma 90.00
loop_
_atom_site_label
_atom_site_type_symbol
_atom_site_fract_x
_atom_site_fract_y
_atom_site_fract_z
Nd1 Nd 0.000 0.000 0.000
Dy1 Dy 0.000 0.500 0.500
Al1 Al 0.500 0.500 0.000
C1 C 0.000 0.000 0.500
```

Output
D(E_F) = 2.24 states/eV per cell
Energy of formation from the pure elements = -0.309 eV/atom
Size of the total moment = 0.00 μB per formula unit

=====

[5]
Density functional theory data (GGA-PBE) for an optimized crystal structure of Dy2Al2Os2C.

Structure (CIF):
```
data_Dy2Al2Os2C
_space_group_name_H-M_alt 'C 1 2/m 1'
_space_group_IT_number 12
_space_group_name_Hall '-C 2y'
_cell_length_a 11.226
_cell_length_b 4.140
_cell_length_c 7.093
_cell_angle_alpha 90.00
_cell_angle_beta 129.12
_cell_angle_gamma 90.00
loop_
_atom_site_label
_atom_site_type_symbol
_atom_site_fract_x
_atom_site_fract_y
_atom_site_fract_z
Dy1 Dy 0.061 0.000 0.289
Al1 Al 0.153 0.500 0.699
Os1 Os 0.199 0.500 0.096
C1 C 0.000 0.500 0.000
```

Output
D(E_F) = 6.48 states/eV per cell
Energy of formation from the pure elements = -0.464 eV/atom
Size of the total moment = 0.00 μB per formula unit

=====

[6]
Density functional theory data (GGA-PBE) for an optimized crystal structure of DyPa2AlC4.

Structure (CIF):
```
data_DyPa2AlC4
_space_group_name_H-M_alt 'C m c m'
_space_group_IT_number 63
_space_group_name_Hall '-C 2c 2'
_cell_length_a 3.613
_cell_length_b 11.666
_cell_length_c 11.876
_cell_angle_alpha 90.00
_cell_angle_beta 90.00
_cell_angle_gamma 90.00
loop_
_atom_site_label
_atom_site_type_symbol
_atom_site_fract_x
_atom_site_fract_y
_atom_site_fract_z
Dy1 Dy 0.000 0.109 0.250
Pa1 Pa 0.000 0.370 0.052
Al1 Al 0.000 0.153 0.750
C1 C 0.000 0.000 0.000
C2 C 0.000 0.257 0.616
C3 C 0.000 0.441 0.250
```

Output
D(E_F) = 8.97 states/eV per cell
Energy of formation from the pure elements = -0.241 eV/atom
Size of the total moment = 0.00 μB per formula unit